(1)
Here is a relaxed structure of ZrZnP2 from Alexandria via LeMat-Bulk. Energies are from GGA-PBE.

Results
**DFT formation energy**: 0.0673 eV/atom

Lattice parameters (Å, degrees): 2.817 2.817 9.747 90.00 90.00 90.00
Atoms (fractional coordinates):
Zr 0.000 0.000 0.000
Zn 0.500 0.500 0.767
P 0.000 0.000 0.586
P 0.500 0.500 0.207



(2)
Here is a relaxed structure of ZrZnP2 from Alexandria via LeMat-Bulk. Energies are from GGA-PBE.

Results
**DFT formation energy**: -0.2706 eV/atom

Lattice parameters (Å, degrees): 4.968 4.968 5.006 91.07 91.07 37.30
Atoms (fractional coordinates):
Zr 0.000 0.000 0.000
Zn 0.500 0.500 0.500
P 0.272 0.272 0.843
P 0.728 0.728 0.157



(3)
Here is a relaxed structure of ZrZn3P from Alexandria via LeMat-Bulk. Energies are from GGA-PBE.

Results
**DFT formation energy**: 1.2927 eV/atom

Lattice parameters (Å, degrees): 5.170 5.170 5.170 90.00 90.00 90.00
Atoms (fractional coordinates):
Zr 0.000 0.000 0.000
Zn 0.000 0.000 0.500
Zn 0.000 0.500 0.000
Zn 0.500 0.000 0.000
P 0.500 0.500 0.500